Record 1
{"formula": "NdYAgHg", "functional": "PBE", "state": "optimized geometry", "lattice_angstrom": [[0.0000, 3.7436, 3.7436], [3.7436, 0.0000, 3.7436], [3.7436, 3.7436, 0.0000]], "species": ["Nd", "Y", "Ag", "Hg"], "frac_coords": [[0.0000, 0.0000, 0.0000], [0.5000, 0.5000, 0.5000], [0.2500, 0.2500, 0.2500], [0.7500, 0.7500, 0.7500]], "n_ef_per_ev_cell": 3.315, "dft_energy_ev_per_atom": -3.985, "delta_e_f_mev_per_atom": -389, "spacegroup": "F-43m, No. 216"}


Record 2
{"formula": "Y5Ni", "functional": "PBE", "state": "optimized geometry", "lattice_angstrom": [[0.0000, 4.4959, 4.4959], [4.4959, 0.0000, 4.4959], [4.4959, 4.4959, 0.0000]], "species": ["Y", "Y", "Y", "Y", "Y", "Ni"], "frac_coords": [[0.0000, 0.0000, 0.0000], [0.1246, 0.6251, 0.6251], [0.6251, 0.1246, 0.6251], [0.6251, 0.6251, 0.1246], [0.6251, 0.6251, 0.6251], [0.2500, 0.2500, 0.2500]], "n_ef_per_ev_cell": 9.798, "dft_energy_ev_per_atom": -5.746, "delta_e_f_mev_per_atom": 604, "spacegroup": "F-43m, No. 216"}


Record 3
{"formula": "Ba3DyCu2O6", "functional": "PBE", "state": "optimized geometry", "lattice_angstrom": [[6.1868, 0.0000, 0.0000], [-3.0934, 5.3580, 0.0000], [0.0000, 0.0000, 6.9113]], "species": ["Ba", "Ba", "Ba", "Dy", "Cu", "Cu", "O", "O", "O", "O", "O", "O"], "frac_coords": [[0.0000, 0.0000, 0.0000], [0.3333, 0.6667, 0.6550], [0.6667, 0.3333, 0.3450], [0.0000, 0.0000, 0.5000], [0.3333, 0.6667, 0.2144], [0.6667, 0.3333, 0.7856], [0.1648, 0.3297, 0.3006], [0.1648, 0.8352, 0.3006], [0.3297, 0.1648, 0.6994], [0.6703, 0.8352, 0.3006], [0.8352, 0.1648, 0.6994], [0.8352, 0.6703, 0.6994]], "n_ef_per_ev_cell": 9.052, "dft_energy_ev_per_atom": -6.041, "spacegroup": "P-3m1, No. 164"}


Record 4
{"formula": "Tb3YEr2Se6", "functional": "PBE", "state": "optimized geometry", "lattice_angstrom": [[3.5086, -6.1196, 0.0000], [3.5086, 6.1196, 0.0000], [-2.3526, 0.0000, 6.6771]], "species": ["Tb", "Tb", "Tb", "Y", "Er", "Er", "Se", "Se", "Se", "Se", "Se", "Se"], "frac_coords": [[0.0000, 0.0000, 0.0000], [0.3358, 0.6642, 0.0000], [0.6642, 0.3358, 0.0000], [0.5000, 0.5000, 0.5000], [0.1662, 0.8338, 0.5000], [0.8338, 0.1662, 0.5000], [0.0812, 0.4180, 0.2535], [0.2451, 0.2451, 0.7447], [0.4180, 0.0812, 0.2535], [0.5820, 0.9188, 0.7465], [0.7549, 0.7549, 0.2553], [0.9188, 0.5820, 0.7465]], "n_ef_per_ev_cell": 5.534, "dft_energy_ev_per_atom": -5.946, "spacegroup": "C2/m, No. 12"}


Record 5
{"formula": "Sr2HoTl4", "functional": "PBE", "state": "optimized geometry", "lattice_angstrom": [[-2.7319, 2.7319, 7.7677], [2.7319, -2.7319, 7.7677], [2.7319, 2.7319, -7.7677]], "species": ["Sr", "Sr", "Ho", "Tl", "Tl", "Tl", "Tl"], "frac_coords": [[0.2462, 0.2462, 0.0000], [0.7538, 0.7538, 0.0000], [0.5000, 0.5000, 0.0000], [0.1042, 0.6042, 0.5000], [0.3958, 0.8958, 0.5000], [0.6042, 0.1042, 0.5000], [0.8958, 0.3958, 0.5000]], "n_ef_per_ev_cell": 2.582, "dft_energy_ev_per_atom": -2.754, "delta_e_f_mev_per_atom": -268, "spacegroup": "I4/mmm, No. 139"}


Record 6
{"formula": "NdDyYHo2", "functional": "PBE", "state": "optimized geometry", "lattice_angstrom": [[4.2007, -5.7467, 0.0000], [4.2007, 5.7467, 0.0000], [0.0000, 0.0000, 7.2153]], "species": ["Nd", "Nd", "Dy", "Dy", "Y", "Y", "Ho", "Ho", "Ho", "Ho"], "frac_coords": [[0.2259, 0.7741, 0.7500], [0.7741, 0.2259, 0.2500], [0.2228, 0.7772, 0.2500], [0.7772, 0.2228, 0.7500], [0.4984, 0.5016, 0.7500], [0.5016, 0.4984, 0.2500], [0.1889, 0.1889, 0.0000], [0.1889, 0.1889, 0.5000], [0.8111, 0.8111, 0.0000], [0.8111, 0.8111, 0.5000]], "n_ef_per_ev_cell": 13.969, "dft_energy_ev_per_atom": -4.608, "delta_e_f_mev_per_atom": 390, "spacegroup": "Cmcm, No. 63"}


Record 7
{"formula": "TaMnSb2", "functional": "PBE", "state": "optimized geometry", "lattice_angstrom": [[4.3120, 0.0000, 0.0000], [0.0000, 1.8355, 5.1399], [0.0000, -1.8355, 5.1399]], "species": ["Ta", "Mn", "Sb", "Sb"], "frac_coords": [[0.0000, 0.0000, 0.0000], [0.5000, 0.1511, 0.1511], [0.0000, 0.7138, 0.7138], [0.5000, 0.4261, 0.4261]], "n_ef_per_ev_cell": 1.960, "dft_energy_ev_per_atom": -7.266, "spacegroup": "Amm2, No. 38"}


Record 8
{"formula": "LaY2Si", "functional": "PBE", "state": "optimized geometry", "lattice_angstrom": [[-2.3068, 2.3068, 5.0099], [2.3068, -2.3068, 5.0099], [2.3068, 2.3068, -5.0099]], "species": ["La", "Y", "Y", "Si"], "frac_coords": [[0.0000, 0.0000, 0.0000], [0.5000, 0.5000, 0.0000], [0.7500, 0.2500, 0.5000], [0.2500, 0.7500, 0.5000]], "n_ef_per_ev_cell": 4.636, "dft_energy_ev_per_atom": -6.015, "spacegroup": "I-4m2, No. 119"}


Record 9
{"formula": "Y8GaGe5", "functional": "PBE", "state": "optimized geometry", "lattice_angstrom": [[-4.4389, 4.4389, 4.4380], [4.4389, -4.4389, 4.4380], [4.4389, 4.4389, -4.4380]], "species": ["Y", "Y", "Y", "Y", "Y", "Y", "Y", "Y", "Ga", "Ge", "Ge", "Ge", "Ge", "Ge"], "frac_coords": [[0.1268, 0.2429, 0.7531], [0.1280, 0.7462, 0.7528], [0.2538, 0.0067, 0.3819], [0.4898, 0.3737, 0.2469], [0.6248, 0.8720, 0.6181], [0.6263, 0.8732, 0.1161], [0.7571, 0.5102, 0.8839], [0.9933, 0.3752, 0.2472], [0.7500, 0.2500, 0.5000], [0.0000, 0.0000, 0.0000], [0.2502, 0.6272, 0.1244], [0.3728, 0.4972, 0.6230], [0.5028, 0.1258, 0.8756], [0.8742, 0.7498, 0.3770]], "n_ef_per_ev_cell": 8.669, "dft_energy_ev_per_atom": -6.376, "delta_e_f_mev_per_atom": -817, "spacegroup": "I-4, No. 82"}


Record 10
{"formula": "AcAgH6Pd2", "functional": "PBE", "state": "optimized geometry", "lattice_angstrom": [[3.6420, -5.7664, 0.0000], [3.6420, 5.7664, 0.0000], [-0.6023, 0.0000, 5.2790]], "species": ["Ac", "Ac", "Ag", "Ag", "H", "H", "H", "H", "H", "H", "H", "H", "H", "H", "H", "H", "Pd", "Pd", "Pd", "Pd"], "frac_coords": [[0.1630, 0.8370, 0.7500], [0.8370, 0.1630, 0.2500], [0.3394, 0.6606, 0.2500], [0.6606, 0.3394, 0.7500], [0.0262, 0.6069, 0.2608], [0.1578, 0.1708, 0.0139], [0.1708, 0.1578, 0.5139], [0.3586, 0.5767, 0.5772], [0.3931, 0.9738, 0.2392], [0.4233, 0.6414, 0.9228], [0.5767, 0.3586, 0.0772], [0.6069, 0.0262, 0.7608], [0.6414, 0.4233, 0.4228], [0.8292, 0.8422, 0.4861], [0.8422, 0.8292, 0.9861], [0.9738, 0.3931, 0.7392], [0.2294, 0.3671, 0.7747], [0.3671, 0.2294, 0.2747], [0.6329, 0.7706, 0.7253], [0.7706, 0.6329, 0.2253]], "n_ef_per_ev_cell": 2.413, "dft_energy_ev_per_atom": -4.008, "spacegroup": "C2/c, No. 15"}


Record 11
{"formula": "Cs3CeTm2S6", "functional": "PBE", "state": "optimized geometry", "lattice_angstrom": [[3.5759, -6.1935, 0.0000], [3.5759, 6.1935, 0.0000], [-2.3844, 0.0000, 8.0506]], "species": ["Cs", "Cs", "Cs", "Ce", "Tm", "Tm", "S", "S", "S", "S", "S", "S"], "frac_coords": [[0.0000, 0.0000, 0.0000], [0.3344, 0.6656, 0.0000], [0.6656, 0.3344, 0.0000], [0.5000, 0.5000, 0.5000], [0.1667, 0.8333, 0.5000], [0.8333, 0.1667, 0.5000], [0.0947, 0.4396, 0.3189], [0.2153, 0.2153, 0.6805], [0.4396, 0.0947, 0.3189], [0.5604, 0.9053, 0.6811], [0.7847, 0.7847, 0.3195], [0.9053, 0.5604, 0.6811]], "n_ef_per_ev_cell": 4.133, "dft_energy_ev_per_atom": -5.311, "spacegroup": "C2/m, No. 12"}


Record 12
{"formula": "NaZn2Au2", "functional": "PBE", "state": "optimized geometry", "lattice_angstrom": [[7.9279, 0.0000, 0.0000], [0.0000, 7.9279, 0.0000], [0.0000, 0.0000, 2.8544]], "species": ["Na", "Na", "Zn", "Zn", "Zn", "Zn", "Au", "Au", "Au", "Au"], "frac_coords": [[0.0000, 0.0000, 0.0000], [0.5000, 0.5000, 0.0000], [0.1201, 0.3799, 0.0000], [0.3799, 0.8799, 0.0000], [0.6201, 0.1201, 0.0000], [0.8799, 0.6201, 0.0000], [0.1772, 0.6772, 0.5000], [0.3228, 0.1772, 0.5000], [0.6772, 0.8228, 0.5000], [0.8228, 0.3228, 0.5000]], "n_ef_per_ev_cell": 2.194, "dft_energy_ev_per_atom": -2.380, "delta_e_f_mev_per_atom": -295, "spacegroup": "P4/mbm, No. 127"}


Record 13
{"formula": "RbIrN2", "functional": "PBE", "state": "optimized geometry", "lattice_angstrom": [[0.0000, 2.9672, 2.9672], [2.9672, 0.0000, 2.9672], [2.9672, 2.9672, 0.0000]], "species": ["Rb", "Ir", "N", "N"], "frac_coords": [[0.0000, 0.0000, 0.0000], [0.5000, 0.5000, 0.5000], [0.2500, 0.2500, 0.2500], [0.7500, 0.7500, 0.7500]], "n_ef_per_ev_cell": 1.452, "dft_energy_ev_per_atom": -4.461, "spacegroup": "Fm-3m, No. 225"}


Record 14
{"formula": "MoAs3Cl", "functional": "PBE", "state": "optimized geometry", "lattice_angstrom": [[4.8777, 0.0000, 0.0000], [0.0000, 4.8777, 0.0000], [0.0000, 0.0000, 4.8777]], "species": ["Mo", "As", "As", "As", "Cl"], "frac_coords": [[0.0000, 0.0000, 0.0000], [0.0000, 0.0000, 0.5000], [0.0000, 0.5000, 0.0000], [0.5000, 0.0000, 0.0000], [0.5000, 0.5000, 0.5000]], "n_ef_per_ev_cell": 4.789, "dft_energy_ev_per_atom": -5.088, "spacegroup": "Pm-3m, No. 221"}


Record 15
{"formula": "PaSi2Pd", "functional": "PBE", "state": "optimized geometry", "lattice_angstrom": [[2.0373, 1.1762, 5.0785], [-2.0373, 1.1762, 5.0785], [0.0000, -2.3525, 5.0785]], "species": ["Pa", "Si", "Si", "Pd"], "frac_coords": [[0.0000, 0.0000, 0.0000], [0.2201, 0.2201, 0.2201], [0.7799, 0.7799, 0.7799], [0.5000, 0.5000, 0.5000]], "n_ef_per_ev_cell": 4.879, "dft_energy_ev_per_atom": -6.937, "spacegroup": "R-3m, No. 166"}


Record 16
{"formula": "TmPaCuO6", "functional": "PBE", "state": "optimized geometry", "lattice_angstrom": [[5.2650, 0.0000, 0.0000], [-2.6325, 4.5596, 0.0000], [0.0000, 0.0000, 4.8757]], "species": ["Tm", "Pa", "Cu", "O", "O", "O", "O", "O", "O"], "frac_coords": [[0.0000, 0.0000, 0.0000], [0.3333, 0.6667, 0.5000], [0.6667, 0.3333, 0.0000], [0.3652, 0.0149, 0.7632], [0.3652, 0.3504, 0.2368], [0.6496, 0.0149, 0.2368], [0.6496, 0.6348, 0.7632], [0.9851, 0.3504, 0.7632], [0.9851, 0.6348, 0.2368]], "n_ef_per_ev_cell": 3.695, "dft_energy_ev_per_atom": -7.654, "spacegroup": "P312, No. 149"}


Record 17
{"formula": "Rb2SrRuF6", "functional": "PBE", "state": "optimized geometry", "lattice_angstrom": [[0.0000, 4.4987, 4.4987], [4.4987, 0.0000, 4.4987], [4.4987, 4.4987, 0.0000]], "species": ["Rb", "Rb", "Sr", "Ru", "F", "F", "F", "F", "F", "F"], "frac_coords": [[0.2500, 0.2500, 0.2500], [0.7500, 0.7500, 0.7500], [0.0000, 0.0000, 0.0000], [0.5000, 0.5000, 0.5000], [0.2637, 0.2637, 0.7363], [0.2637, 0.7363, 0.2637], [0.2637, 0.7363, 0.7363], [0.7363, 0.2637, 0.2637], [0.7363, 0.2637, 0.7363], [0.7363, 0.7363, 0.2637]], "n_ef_per_ev_cell": 0.000, "dft_energy_ev_per_atom": -4.977, "spacegroup": "Fm-3m, No. 225"}


Record 18
{"formula": "Y4AlCdHg2", "functional": "PBE", "state": "optimized geometry", "lattice_angstrom": [[2.6253, 1.5157, 8.5764], [-2.6253, 1.5157, 8.5764], [0.0000, -3.0314, 8.5764]], "species": ["Y", "Y", "Y", "Y", "Al", "Cd", "Hg", "Hg"], "frac_coords": [[0.1223, 0.1223, 0.1223], [0.3725, 0.3725, 0.3725], [0.6275, 0.6275, 0.6275], [0.8777, 0.8777, 0.8777], [0.0000, 0.0000, 0.0000], [0.5000, 0.5000, 0.5000], [0.2466, 0.2466, 0.2466], [0.7534, 0.7534, 0.7534]], "n_ef_per_ev_cell": 8.901, "dft_energy_ev_per_atom": -4.320, "delta_e_f_mev_per_atom": -431, "spacegroup": "R-3m, No. 166"}


Record 19
{"formula": "SrRh2F", "functional": "PBE", "state": "optimized geometry", "lattice_angstrom": [[0.0000, 3.2918, 3.2918], [3.2918, 0.0000, 3.2918], [3.2918, 3.2918, 0.0000]], "species": ["Sr", "Rh", "Rh", "F"], "frac_coords": [[0.0000, 0.0000, 0.0000], [0.2500, 0.2500, 0.2500], [0.7500, 0.7500, 0.7500], [0.5000, 0.5000, 0.5000]], "n_ef_per_ev_cell": 5.663, "dft_energy_ev_per_atom": -4.347, "spacegroup": "Fm-3m, No. 225"}


Record 20
{"formula": "Co2Ir7Ru2", "functional": "PBE", "state": "optimized geometry", "lattice_angstrom": [[4.6061, -3.8395, 0.0000], [4.6061, 3.8395, 0.0000], [-0.7785, 0.0000, 4.6109]], "species": ["Co", "Co", "Ir", "Ir", "Ir", "Ir", "Ir", "Ir", "Ir", "Ru", "Ru"], "frac_coords": [[0.2336, 0.2336, 0.2537], [0.7664, 0.7664, 0.7463], [0.0000, 0.0000, 0.5000], [0.0543, 0.4141, 0.7451], [0.4141, 0.0543, 0.7451], [0.4646, 0.4646, 0.7318], [0.5354, 0.5354, 0.2682], [0.5859, 0.9457, 0.2549], [0.9457, 0.5859, 0.2549], [0.1755, 0.8245, 0.0000], [0.8245, 0.1755, 0.0000]], "n_ef_per_ev_cell": 14.093, "dft_energy_ev_per_atom": -8.266, "delta_e_f_mev_per_atom": 351, "spacegroup": "C2/m, No. 12"}


Record 21
{"formula": "CsNdCoBr6", "functional": "PBE", "state": "optimized geometry", "lattice_angstrom": [[3.6105, -6.2652, 0.0000], [3.6105, 6.2652, 0.0000], [-0.0399, 0.0000, 8.1330]], "species": ["Cs", "Nd", "Co", "Br", "Br", "Br", "Br", "Br", "Br"], "frac_coords": [[0.0000, 0.0000, 0.0000], [0.3335, 0.6665, 0.5000], [0.6670, 0.3330, 0.5000], [0.3885, 0.0296, 0.6935], [0.3951, 0.3666, 0.3028], [0.6334, 0.6049, 0.6972], [0.6409, 0.0294, 0.3071], [0.9704, 0.6115, 0.3065], [0.9706, 0.3591, 0.6929]], "n_ef_per_ev_cell": 1.017, "dft_energy_ev_per_atom": -3.843, "spacegroup": "C2, No. 5"}


Record 22
{"formula": "PmSm2Dy3Bi6", "functional": "PBE", "state": "optimized geometry", "lattice_angstrom": [[9.8482, -2.2607, 0.0000], [9.8482, 2.2607, 0.0000], [-2.0602, 0.0000, 8.8018]], "species": ["Pm", "Sm", "Sm", "Dy", "Dy", "Dy", "Bi", "Bi", "Bi", "Bi", "Bi", "Bi"], "frac_coords": [[0.0000, 0.0000, 0.0000], [0.3332, 0.3332, 0.6669], [0.6668, 0.6668, 0.3331], [0.0000, 0.0000, 0.5000], [0.3335, 0.3335, 0.1671], [0.6665, 0.6665, 0.8329], [0.1654, 0.1654, 0.5861], [0.1683, 0.1683, 0.0801], [0.4989, 0.4989, 0.2541], [0.5011, 0.5011, 0.7459], [0.8317, 0.8317, 0.9199], [0.8346, 0.8346, 0.4139]], "n_ef_per_ev_cell": 2.012, "dft_energy_ev_per_atom": -5.168, "delta_e_f_mev_per_atom": -894, "spacegroup": "C2/m, No. 12"}